Record 1
! Tb2Pm6Pu, optimized geometry, DFT PBE-GGA; values from VASP
&SYSTEM
  ibrav = 0, nat = 18, ntyp = 3
/
ATOMIC_SPECIES
Tb 158.93 Tb.upf
Pm 145.00 Pm.upf
Pu 244.00 Pu.upf
CELL_PARAMETERS angstrom
10.806 0.000 0.000
0.000 10.806 0.000
0.000 0.000 5.099
ATOMIC_POSITIONS crystal
Tb 0.164 0.164 0.000
Tb 0.336 0.664 0.500
Tb 0.664 0.336 0.500
Tb 0.836 0.836 0.000
Pm 0.000 0.329 0.500
Pm 0.000 0.671 0.500
Pm 0.164 0.836 0.000
Pm 0.171 0.500 0.000
Pm 0.329 0.000 0.500
Pm 0.336 0.336 0.500
Pm 0.500 0.171 0.000
Pm 0.500 0.829 0.000
Pm 0.664 0.664 0.500
Pm 0.671 0.000 0.500
Pm 0.829 0.500 0.000
Pm 0.836 0.164 0.000
Pu 0.000 0.000 0.500
Pu 0.500 0.500 0.000
! * DOS at the Fermi energy: 1.92 states/eV per atom
! * E_tot: -103.20 eV for the cell shown
! * SG: No. 136
! * calculated formation energy: 48 kJ/mol of formula units
! * calculated density: 7.99 g/cm3

---

Record 2
! La2HoRh, optimized geometry, DFT PBE-GGA; values from VASP
&SYSTEM
  ibrav = 0, nat = 4, ntyp = 3
/
ATOMIC_SPECIES
La 138.91 La.upf
Ho 164.93 Ho.upf
Rh 102.91 Rh.upf
CELL_PARAMETERS angstrom
1.987 1.147 9.377
-1.987 1.147 9.377
0.000 -2.295 9.377
ATOMIC_POSITIONS crystal
La 0.000 0.000 0.000
La 0.212 0.212 0.212
Ho 0.772 0.772 0.772
Rh 0.606 0.606 0.606
! * DOS at the Fermi energy: 1.24 states/eV per atom
! * E_tot: -22.96 eV for the cell shown
! * E above lowest polymorph: 168 meV per atom
! * SG: No. 160
! * calculated formation energy: -113 kJ/mol of formula units
! * calculated density: 7.06 g/cm3

---

- Which value of calculated density does entry 2 give?
  7.06 g/cm3

---

- Look up the calculated density of the first one.
  7.99 g/cm3